Record 1
Compound: GdZrBe2Ge2
Source: OQMD via LeMat-Bulk
Functional: PBE-GGA
Structure: optimized geometry

a b c (Å): 3.8510 3.8510 7.8226
angles (deg): 90.00 90.00 120.00
With the nearest neighbours (Å) after each atom.
Element x y z (fractional)
Gd (0.0000, 0.0000, 0.0000)  6 Ge 3.02, 6 Be 3.09
Zr (0.0000, 0.0000, 0.5000)  6 Be 2.84, 6 Ge 2.90
Be (0.3333, 0.6667, 0.2736)  3 Ge 2.23
Be (0.6667, 0.3333, 0.7264)  3 Ge 2.23
Ge (0.3333, 0.6667, 0.7381)  3 Be 2.23
Ge (0.6667, 0.3333, 0.2619)  3 Be 2.23

Record 2
Compound: Cs2CdBr4
Source: OQMD via LeMat-Bulk
Functional: PBE-GGA
Structure: optimized geometry

a b c (Å): 8.0056 10.4228 16.4969
angles (deg): 90.00 118.65 90.00
With the nearest neighbours (Å) after each atom.
Element x y z (fractional)
Cs (0.0530, 0.0128, 0.3249)  8 Br 3.69-3.96
Cs (0.0530, 0.4872, 0.8249)  8 Br 3.69-3.96
Cs (0.3629, 0.1208, 0.0988)  7 Br 3.68-4.10
Cs (0.3629, 0.3792, 0.5988)  7 Br 3.68-4.10
Cs (0.6371, 0.6208, 0.4012)  7 Br 3.68-4.10
Cs (0.6371, 0.8792, 0.9012)  7 Br 3.68-4.10
Cs (0.9470, 0.5128, 0.1751)  8 Br 3.69-3.96
Cs (0.9470, 0.9872, 0.6751)  8 Br 3.69-3.96
Cd (0.3275, 0.7232, 0.0770)  4 Br 2.62-2.64
Cd (0.3275, 0.7768, 0.5770)  4 Br 2.62-2.64
Cd (0.6725, 0.2232, 0.4230)  4 Br 2.62-2.64
Cd (0.6725, 0.2768, 0.9230)  4 Br 2.62-2.64
Br (0.1116, 0.6730, 0.4139)  1 Cd 2.63
Br (0.1116, 0.8270, 0.9139)  1 Cd 2.63
Br (0.2249, 0.6896, 0.6969)  1 Cd 2.64
Br (0.2249, 0.8104, 0.1969)  1 Cd 2.64
Br (0.3171, 0.0274, 0.5816)  1 Cd 2.62
Br (0.3171, 0.4726, 0.0816)  1 Cd 2.62
Br (0.3301, 0.1801, 0.8679)  1 Cd 2.64
Br (0.3301, 0.3199, 0.3679)  1 Cd 2.64
Br (0.6699, 0.6801, 0.6321)  1 Cd 2.64
Br (0.6699, 0.8199, 0.1321)  1 Cd 2.64
Br (0.6829, 0.5274, 0.9184)  1 Cd 2.62
Br (0.6829, 0.9726, 0.4184)  1 Cd 2.62
Br (0.7751, 0.1896, 0.8031)  1 Cd 2.64
Br (0.7751, 0.3104, 0.3031)  1 Cd 2.64
Br (0.8884, 0.1730, 0.0861)  1 Cd 2.63
Br (0.8884, 0.3270, 0.5861)  1 Cd 2.63

Record 3
Compound: LiTaMoW
Source: OQMD via LeMat-Bulk
Functional: PBE-GGA
Structure: optimized geometry

a b c (Å): 4.4589 4.4589 4.4589
angles (deg): 60.00 60.00 60.00
With the nearest neighbours (Å) after each atom.
Element x y z (fractional)
Li (0.0000, 0.0000, 0.0000)  4 Ta 2.73, 4 W 2.73
Ta (0.2500, 0.2500, 0.2500)  4 Mo 2.73, 4 Li 2.73
Mo (0.5000, 0.5000, 0.5000)  4 Ta 2.73, 4 W 2.73
W (0.7500, 0.7500, 0.7500)  4 Mo 2.73, 4 Li 2.73

Record 4
Compound: HoNbSi
Source: OQMD via LeMat-Bulk
Functional: PBE-GGA
Structure: optimized geometry

a b c (Å): 4.7521 4.7521 4.7521
angles (deg): 60.00 60.00 60.00
With the nearest neighbours (Å) after each atom.
Element x y z (fractional)
Ho (0.0000, 0.0000, 0.0000)  4 Nb 2.91, 4 Si 2.91
Nb (0.7500, 0.7500, 0.7500)  4 Ho 2.91
Si (0.2500, 0.2500, 0.2500)  4 Ho 2.91

Record 5
Compound: Na2CdGe
Source: OQMD via LeMat-Bulk
Functional: PBE-GGA
Structure: optimized geometry

a b c (Å): 4.9744 4.9744 4.9744
angles (deg): 60.00 60.00 60.00
With the nearest neighbours (Å) after each atom.
Element x y z (fractional)
Na (0.0000, 0.0000, 0.0000)  4 Ge 3.05, 4 Na 3.05
Na (0.2500, 0.2500, 0.2500)  4 Cd 3.05, 4 Na 3.05
Cd (0.5000, 0.5000, 0.5000)  4 Ge 3.05, 4 Na 3.05
Ge (0.7500, 0.7500, 0.7500)  4 Na 3.05, 4 Cd 3.05

Record 6
Compound: GdDyCu2Si4
Source: OQMD via LeMat-Bulk
Functional: PBE-GGA
Structure: optimized geometry

a b c (Å): 3.9881 8.6805 8.6805
angles (deg): 26.84 90.00 90.00
With the nearest neighbours (Å) after each atom.
Element x y z (fractional)
Gd (0.0000, 0.0000, 0.0000)  10 Si 3.05-3.23, 4 Cu 3.07
Dy (0.5000, 0.2039, 0.2039)  10 Si 3.04-3.22, 4 Cu 3.07
Cu (0.0000, 0.7740, 0.7740)  5 Si 2.28-2.40
Cu (0.5000, 0.4297, 0.4297)  5 Si 2.30-2.40
Si (0.0000, 0.3508, 0.3508)  4 Cu 2.40
Si (0.0000, 0.6387, 0.6387)  1 Cu 2.28, 2 Si 2.34
Si (0.5000, 0.5658, 0.5658)  1 Cu 2.30, 2 Si 2.34
Si (0.5000, 0.8524, 0.8524)  4 Cu 2.39-2.40

Record 7
Compound: GaAg
Source: OQMD via LeMat-Bulk
Functional: PBE-GGA
Structure: optimized geometry

a b c (Å): 2.9911 4.8687 4.8573
angles (deg): 90.00 90.00 90.00
With the nearest neighbours (Å) after each atom.
Element x y z (fractional)
Ga (0.2500, 0.2500, 0.0988)  6 Ag 2.83-2.87, 6 Ga 2.99-3.01
Ga (0.7500, 0.7500, 0.9012)  6 Ag 2.83-2.87, 6 Ga 2.99-3.01
Ag (0.2500, 0.7500, 0.3972)  6 Ga 2.83-2.87, 6 Ag 2.99-3.03
Ag (0.7500, 0.2500, 0.6028)  6 Ga 2.83-2.87, 6 Ag 2.99-3.03

Record 8
Compound: Y4Ge3Mo2C3
Source: OQMD via LeMat-Bulk
Functional: PBE-GGA
Structure: optimized geometry

a b c (Å): 5.8977 5.8977 14.0870
angles (deg): 101.89 101.89 60.79
With the nearest neighbours (Å) after each atom.
Element x y z (fractional)
Y (0.0439, 0.1904, 0.1028)  3 C 2.44-2.51
Y (0.1241, 0.2987, 0.3966)  3 C 2.45-2.50
Y (0.1904, 0.0439, 0.6028)  3 C 2.44-2.51
Y (0.2987, 0.1241, 0.8966)  3 C 2.45-2.50
Y (0.7013, 0.8759, 0.1034)  3 C 2.45-2.50
Y (0.8096, 0.9561, 0.3972)  3 C 2.44-2.51
Y (0.8759, 0.7013, 0.6034)  3 C 2.45-2.50
Y (0.9561, 0.8096, 0.8972)  3 C 2.44-2.51
Ge (0.1737, 0.8263, 0.2500)  2 Ge 2.59, 2 Mo 2.79
Ge (0.3229, 0.4215, 0.7516)  2 Ge 2.59-2.61, 2 Mo 2.84-2.88
Ge (0.4215, 0.3229, 0.2516)  2 Ge 2.59-2.61, 2 Mo 2.84-2.88
Ge (0.5785, 0.6771, 0.7484)  2 Ge 2.59-2.61, 2 Mo 2.84-2.88
Ge (0.6771, 0.5785, 0.2484)  2 Ge 2.59-2.61, 2 Mo 2.84-2.88
Ge (0.8263, 0.1737, 0.7500)  2 Ge 2.59, 2 Mo 2.79
Mo (0.3456, 0.5232, 0.0742)  3 C 2.13-2.14
Mo (0.4768, 0.6544, 0.4258)  3 C 2.13-2.14
Mo (0.5232, 0.3456, 0.5742)  3 C 2.13-2.14
Mo (0.6544, 0.4768, 0.9258)  3 C 2.13-2.14
C (0.0000, 0.5000, 0.0000)  2 Mo 2.14
C (0.1999, 0.6498, 0.5000)  2 Mo 2.13-2.14
C (0.3502, 0.8001, 0.0000)  2 Mo 2.13-2.14
C (0.5000, 0.0000, 0.5000)  2 Mo 2.14
C (0.6498, 0.1999, 0.0000)  2 Mo 2.13-2.14
C (0.8001, 0.3502, 0.5000)  2 Mo 2.13-2.14

Record 9
Compound: RbBeNiBi
Source: OQMD via LeMat-Bulk
Functional: PBE-GGA
Structure: optimized geometry

a b c (Å): 4.9854 4.9854 4.9854
angles (deg): 60.00 60.00 60.00
With the nearest neighbours (Å) after each atom.
Element x y z (fractional)
Rb (0.0000, 0.0000, 0.0000)  4 Ni 3.05, 4 Be 3.05
Be (0.2500, 0.2500, 0.2500)  4 Bi 3.05, 4 Rb 3.05
Ni (0.7500, 0.7500, 0.7500)  4 Bi 3.05, 4 Rb 3.05
Bi (0.5000, 0.5000, 0.5000)  4 Be 3.05, 4 Ni 3.05

Record 10
Compound: RbPaO3
Source: OQMD via LeMat-Bulk
Functional: PBE-GGA
Structure: optimized geometry

a b c (Å): 5.7959 12.4587 5.4122
angles (deg): 90.00 90.00 90.00
With the nearest neighbours (Å) after each atom.
Element x y z (fractional)
Rb (0.0000, 0.0000, 0.0000)  4 O 2.66-2.68
Rb (0.0000, 0.5000, 0.0000)  4 O 2.66-2.68
Rb (0.5000, 0.0000, 0.5000)  4 O 2.66-2.68
Rb (0.5000, 0.5000, 0.5000)  4 O 2.66-2.68
Pa (0.0172, 0.2500, 0.4436)  6 O 2.20-2.23
Pa (0.4828, 0.7500, 0.9436)  6 O 2.20-2.23
Pa (0.5172, 0.2500, 0.0564)  6 O 2.20-2.23
Pa (0.9828, 0.7500, 0.5564)  6 O 2.20-2.23
O (0.2185, 0.7500, 0.2373)  2 Pa 2.20-2.21
O (0.2380, 0.6439, 0.7401)  2 Pa 2.22-2.23
O (0.2380, 0.8561, 0.7401)  2 Pa 2.22-2.23
O (0.2620, 0.1439, 0.2401)  2 Pa 2.22-2.23
O (0.2620, 0.3561, 0.2401)  2 Pa 2.22-2.23
O (0.2815, 0.2500, 0.7373)  2 Pa 2.20-2.21
O (0.7185, 0.7500, 0.2627)  2 Pa 2.20-2.21
O (0.7380, 0.6439, 0.7599)  2 Pa 2.22-2.23
O (0.7380, 0.8561, 0.7599)  2 Pa 2.22-2.23
O (0.7620, 0.1439, 0.2599)  2 Pa 2.22-2.23
O (0.7620, 0.3561, 0.2599)  2 Pa 2.22-2.23
O (0.7815, 0.2500, 0.7627)  2 Pa 2.20-2.21

Record 11
Compound: HgBr2
Source: OQMD via LeMat-Bulk
Functional: PBE-GGA
Structure: optimized geometry

a b c (Å): 7.0897 8.2916 6.7697
angles (deg): 90.00 90.00 90.00
With the nearest neighbours (Å) after each atom.
Element x y z (fractional)
Hg (0.0914, 0.1225, 0.0000)  4 Br 2.66-2.68
Hg (0.4086, 0.6225, 0.5000)  4 Br 2.66-2.68
Hg (0.5914, 0.3775, 0.0000)  4 Br 2.66-2.68
Hg (0.9086, 0.8775, 0.5000)  4 Br 2.66-2.68
Br (0.0593, 0.6068, 0.6441)  2 Hg 2.66-2.67
Br (0.0951, 0.1429, 0.6053)  2 Hg 2.66-2.68
Br (0.4049, 0.6429, 0.1053)  2 Hg 2.66-2.68
Br (0.4407, 0.1068, 0.1441)  2 Hg 2.66-2.67
Br (0.5593, 0.8932, 0.6441)  2 Hg 2.66-2.67
Br (0.5951, 0.3571, 0.6053)  2 Hg 2.66-2.68
Br (0.9049, 0.8571, 0.1053)  2 Hg 2.66-2.68
Br (0.9407, 0.3932, 0.1441)  2 Hg 2.66-2.67

no.,calculated total energy (eV/atom),calculated volume (Å³ per atom)
1,-5.651,16.7
2,-2.761,43.1
3,-9.067,15.7
4,-5.760,25.3
5,-2.138,21.8
6,-5.380,17.0
7,-2.962,17.7
8,-7.927,17.3
9,-2.763,21.9
10,-7.505,19.5
11,-1.622,33.2